Entry 1:
# GGA-PBE Li4Dy3ErS8, relaxed
# - D(E_F): 0.0 states/eV per cell
# - Energy relative to the elements, uncorrected: -1.852 eV per atom
data_Li4Dy3ErS8
_symmetry_space_group_name_H-M 'P 1'
_symmetry_Int_Tables_number 1
_symmetry_space_group_name_Hall 'P 1'
_cell_length_a 7.8108
_cell_length_b 7.6484
_cell_length_c 7.8093
_cell_angle_alpha 120.73
_cell_angle_beta 120.01
_cell_angle_gamma 90.00
loop_
_atom_site_label
_atom_site_fract_x
_atom_site_fract_y
_atom_site_fract_z
Li1 0.5000 0.0000 0.0000
Li2 0.5000 0.0000 0.5000
Li3 0.0000 0.0000 0.0000
Li4 0.0000 0.0000 0.5000
Dy1 0.5000 0.5000 0.0000
Dy2 0.5000 0.5000 0.5000
Dy3 0.0000 0.5000 0.5000
Er1 0.0000 0.5000 0.0000
S1 0.2491 0.7497 0.0010
S2 0.2491 0.7497 0.4982
S3 0.2497 0.2494 0.4993
S4 0.7520 0.7497 0.0010
S5 0.2480 0.2503 0.9990
S6 0.7503 0.7506 0.5007
S7 0.7509 0.2503 0.5018
S8 0.7509 0.2503 0.9990

---

Entry 2:
# GGA-PBE HoCdHgIr, relaxed
# - D(E_F): 2.5 states/eV per cell
# - Formation energy from the elements: -0.260 eV/atom
data_HoCdHgIr
_symmetry_space_group_name_H-M 'P 1'
_symmetry_Int_Tables_number 1
_symmetry_space_group_name_Hall 'P 1'
_cell_length_a 4.8881
_cell_length_b 4.8881
_cell_length_c 4.8881
_cell_angle_alpha 60.00
_cell_angle_beta 60.00
_cell_angle_gamma 60.00
loop_
_atom_site_label
_atom_site_fract_x
_atom_site_fract_y
_atom_site_fract_z
Cd1 0.0000 0.0000 0.0000
Ir1 0.7500 0.7500 0.7500
Hg1 0.2500 0.2500 0.2500
Ho1 0.5000 0.5000 0.5000

---

Entry 3:
# GGA-PBE Dy3Ho3Th4, relaxed
# - D(E_F): 14.1 states/eV per cell
# - Formation energy from the elements: 0.233 eV/atom
data_Dy3Ho3Th4
_symmetry_space_group_name_H-M 'P 1'
_symmetry_Int_Tables_number 1
_symmetry_space_group_name_Hall 'P 1'
_cell_length_a 3.8828
_cell_length_b 9.2059
_cell_length_c 9.2059
_cell_angle_alpha 89.94
_cell_angle_beta 90.00
_cell_angle_gamma 90.00
loop_
_atom_site_label
_atom_site_fract_x
_atom_site_fract_y
_atom_site_fract_z
Dy1 0.0000 0.5005 0.0004
Dy2 0.0000 0.9996 0.4995
Dy3 0.5000 0.1635 0.8365
Ho1 0.5000 0.8367 0.1633
Ho2 0.5000 0.3364 0.3367
Ho3 0.5000 0.6633 0.6636
Th1 0.0000 0.6328 0.3672
Th2 0.0000 0.3670 0.6330
Th3 0.0000 0.8671 0.8670
Th4 0.0000 0.1330 0.1329

---

Entry 4:
# GGA-PBE AcLa3Se6, relaxed
# - Energy relative to the elements, uncorrected: -2.030 eV per atom
data_AcLa3Se6
_symmetry_space_group_name_H-M 'P 1'
_symmetry_Int_Tables_number 1
_symmetry_space_group_name_Hall 'P 1'
_cell_length_a 4.4055
_cell_length_b 12.0735
_cell_length_c 12.4563
_cell_angle_alpha 108.11
_cell_angle_beta 90.00
_cell_angle_gamma 90.00
loop_
_atom_site_label
_atom_site_fract_x
_atom_site_fract_y
_atom_site_fract_z
Ac1 0.7500 0.0490 0.6922
Ac2 0.2500 0.9510 0.3078
La1 0.7500 0.4399 0.8310
La2 0.2500 0.5601 0.1690
La3 0.7500 0.6813 0.5040
La4 0.2500 0.3187 0.4960
La5 0.7500 0.1613 0.0850
La6 0.2500 0.8387 0.9150
Se1 0.7500 0.4780 0.6098
Se2 0.2500 0.5220 0.3902
Se3 0.7500 0.9161 0.0965
Se4 0.2500 0.0839 0.9035
Se5 0.7500 0.3979 0.0586
Se6 0.2500 0.6021 0.9414
Se7 0.7500 0.7376 0.2745
Se8 0.2500 0.2624 0.7255
Se9 0.7500 0.1167 0.4616
Se10 0.2500 0.8833 0.5384
Se11 0.7500 0.8073 0.7527
Se12 0.2500 0.1927 0.2473

---

Entry 5:
# GGA-PBE Nb2NiSn, relaxed
# - D(E_F): 6.3 states/eV per cell
# - Formation energy from the elements: 0.207 eV/atom
data_Nb2NiSn
_symmetry_space_group_name_H-M 'P 1'
_symmetry_Int_Tables_number 1
_symmetry_space_group_name_Hall 'P 1'
_cell_length_a 7.3050
_cell_length_b 7.3050
_cell_length_c 5.8525
_cell_angle_alpha 51.38
_cell_angle_beta 51.38
_cell_angle_gamma 90.00
loop_
_atom_site_label
_atom_site_fract_x
_atom_site_fract_y
_atom_site_fract_z
Ni1 0.5000 0.5000 0.0000
Ni2 0.2500 0.7500 0.5000
Nb1 0.5901 0.1250 0.2500
Nb2 0.1599 0.6250 0.2500
Nb3 0.3750 0.4099 0.7500
Nb4 0.8750 0.8401 0.7500
Sn1 0.0000 0.0000 0.0000
Sn2 0.7500 0.2500 0.5000

---

Entry 6:
# GGA-PBE CdCoHg2Ru, relaxed
# - D(E_F): 8.5 states/eV per cell
# - Formation energy from the elements: 1.145 eV/atom
data_CdCoHg2Ru
_symmetry_space_group_name_H-M 'P 1'
_symmetry_Int_Tables_number 1
_symmetry_space_group_name_Hall 'P 1'
_cell_length_a 4.8563
_cell_length_b 4.8481
_cell_length_c 4.8563
_cell_angle_alpha 90.00
_cell_angle_beta 90.00
_cell_angle_gamma 90.00
loop_
_atom_site_label
_atom_site_fract_x
_atom_site_fract_y
_atom_site_fract_z
Ru1 0.5000 0.5000 0.5000
Co1 0.0000 0.0000 0.0000
Hg1 0.0000 0.0000 0.5000
Hg2 0.5000 0.0000 0.0000
Cd1 0.0000 0.5000 0.0000

---

Entry 7:
# GGA-PBE BaAlSn, relaxed
# - D(E_F): 2.8 states/eV per cell
# - Formation energy from the elements: -0.424 eV/atom
data_BaAlSn
_symmetry_space_group_name_H-M 'P 1'
_symmetry_Int_Tables_number 1
_symmetry_space_group_name_Hall 'P 1'
_cell_length_a 4.6493
_cell_length_b 10.1802
_cell_length_c 8.1126
_cell_angle_alpha 90.00
_cell_angle_beta 90.00
_cell_angle_gamma 90.00
loop_
_atom_site_label
_atom_site_fract_x
_atom_site_fract_y
_atom_site_fract_z
Sn1 0.7500 0.0773 0.7128
Sn2 0.2500 0.5773 0.7872
Sn3 0.2500 0.9227 0.2872
Sn4 0.7500 0.4227 0.2128
Al1 0.7500 0.0659 0.3614
Al2 0.2500 0.5659 0.1386
Al3 0.2500 0.9341 0.6386
Al4 0.7500 0.4341 0.8614
Ba1 0.7500 0.6939 0.4900
Ba2 0.2500 0.1939 0.0100
Ba3 0.2500 0.3061 0.5100
Ba4 0.7500 0.8061 0.9900

---

Entry 8:
# GGA-PBE SrPa2NiN5, relaxed
# - D(E_F): 8.4 states/eV per cell
# - Energy relative to the elements, uncorrected: -1.036 eV per atom
data_SrPa2NiN5
_symmetry_space_group_name_H-M 'P 1'
_symmetry_Int_Tables_number 1
_symmetry_space_group_name_Hall 'P 1'
_cell_length_a 6.5993
_cell_length_b 6.5993
_cell_length_c 7.3278
_cell_angle_alpha 116.76
_cell_angle_beta 116.76
_cell_angle_gamma 90.00
loop_
_atom_site_label
_atom_site_fract_x
_atom_site_fract_y
_atom_site_fract_z
Sr1 0.2500 0.2500 0.5000
Sr2 0.7500 0.7500 0.5000
Pa1 0.1787 0.3213 0.0000
Pa2 0.6787 0.1787 0.0000
Pa3 0.3213 0.8213 0.0000
Pa4 0.8213 0.6787 0.0000
Ni1 0.2500 0.7500 0.5000
Ni2 0.7500 0.2500 0.5000
N1 0.9893 0.4893 0.2544
N2 0.7349 0.2349 0.7456
N3 0.0107 0.5107 0.7456
N4 0.2349 0.0107 0.7456
N5 0.5107 0.7349 0.7456
N6 0.7651 0.9893 0.2544
N7 0.4893 0.2651 0.2544
N8 0.2651 0.7651 0.2544
N9 0.5000 0.5000 0.0000
N10 0.0000 0.0000 0.0000

---

The following final energy values (in hartree per atom) correspond, in order, to the records above: -0.2037 -0.1442 -0.2017 -0.2209 -0.2673 -0.0895 -0.1340 -0.3161.